A plane-wave DFT calculation with meta-GGA SCAN was carried out for Be3InNi at its PBEsol-relaxed geometry.

Lattice parameters (Å, degrees): 4.3523 4.3523 4.3523 90.00 90.00 90.00
With the nearest neighbours (Å) after each atom.
Fractional positions:
Be  0.0000  0.0000  0.5000  2 In 2.18
Be  0.0000  0.5000  0.0000  2 In 2.18
Be  0.5000  0.0000  0.0000  2 In 2.18
In  0.0000  0.0000  0.0000  6 Be 2.18
Ni  0.5000  0.5000  0.5000  12 Be 3.08

**Total magnetic moment**: 0.46 μB per cell
**Symmetry**: Pm-3m
**Energy of formation from the pure elements**: 7.4 eV/f.u.
**Crystal system**: cubic